PaGeB | PBE-GGA | optimized geometry

Crystal system   cubic
ΔE to the lowest computed polymorph   0 meV/atom

abc: 4.210 4.210 4.210
angles: 60.00 60.00 60.00
Fractional coordinates of all 3 atoms:
B  0.000  0.000  0.000
Ge  0.750  0.750  0.750
Pa  0.250  0.250  0.250


PmGeB | PBE-GGA | optimized geometry

Crystal system   cubic
ΔE to the lowest computed polymorph   608 meV/atom

abc: 4.596 4.596 4.596
angles: 60.00 60.00 60.00
Fractional coordinates of all 3 atoms:
Pm  0.000  0.000  0.000
Ge  0.750  0.750  0.750
B  0.250  0.250  0.250


PmGeB | PBE-GGA | optimized geometry

Crystal system   cubic
ΔE to the lowest computed polymorph   0 meV/atom

abc: 4.313 4.313 4.313
angles: 60.00 60.00 60.00
Fractional coordinates of all 3 atoms:
Pm  0.750  0.750  0.750
Ge  0.250  0.250  0.250
B  0.000  0.000  0.000


PrGeB4 | PBE-GGA | optimized geometry

Crystal system   hexagonal
ΔE to the lowest computed polymorph   142 meV/atom

abc: 3.172 3.172 8.000
angles: 90.00 90.00 120.00
Fractional coordinates of all 6 atoms:
B  0.667  0.333  0.726
B  0.333  0.667  0.274
B  0.333  0.667  0.726
B  0.667  0.333  0.274
Pr  0.000  0.000  0.000
Ge  0.000  0.000  0.500


PrGeB4 | PBE-GGA | optimized geometry

Crystal system   orthorhombic
ΔE to the lowest computed polymorph   0 meV/atom

abc: 5.316 5.316 5.316
angles: 144.79 121.19 70.44
Fractional coordinates of all 6 atoms:
B  0.084  0.759  0.324
B  0.916  0.241  0.676
B  0.435  0.759  0.676
B  0.565  0.241  0.324
Pr  0.500  0.500  0.000
Ge  0.000  0.000  0.000


GeBPt | PBE-GGA | optimized geometry

Crystal system   cubic
ΔE to the lowest computed polymorph   355 meV/atom

abc: 3.878 3.878 3.878
angles: 60.00 60.00 60.00
Fractional coordinates of all 3 atoms:
Ge  0.250  0.250  0.250
Pt  0.750  0.750  0.750
B  0.000  0.000  0.000


GeBPt | PBE-GGA | optimized geometry

Crystal system   orthorhombic
ΔE to the lowest computed polymorph   6 meV/atom

abc: 3.242 4.612 5.934
angles: 90.00 90.00 90.00
Fractional coordinates of all 6 atoms:
Ge  0.500  0.863  0.892
Ge  0.000  0.137  0.392
B  0.000  0.482  0.637
B  0.500  0.518  0.137
Pt  0.000  0.313  0.971
Pt  0.500  0.687  0.471


GeB4Pt | PBE-GGA | optimized geometry

Crystal system   hexagonal
ΔE to the lowest computed polymorph   0 meV/atom

abc: 3.104 3.104 6.960
angles: 90.00 90.00 120.00
Fractional coordinates of all 6 atoms:
B  0.667  0.333  0.251
B  0.333  0.667  0.749
B  0.667  0.333  0.749
B  0.333  0.667  0.251
Ge  0.000  0.000  0.000
Pt  0.000  0.000  0.500


GeBPt | PBE-GGA | optimized geometry

Crystal system   monoclinic
ΔE to the lowest computed polymorph   37 meV/atom

abc: 4.406 4.002 5.719
angles: 90.00 108.72 90.00
Fractional coordinates of all 6 atoms:
Ge  0.633  0.500  0.776
Ge  0.367  0.500  0.224
Pt  0.500  0.000  0.000
Pt  0.000  0.500  0.500
B  0.134  0.000  0.647
B  0.866  0.000  0.353


GeBPt | PBE-GGA | optimized geometry

Crystal system   orthorhombic
ΔE to the lowest computed polymorph   0 meV/atom

abc: 3.312 4.512 6.250
angles: 90.00 90.00 90.00
Fractional coordinates of all 6 atoms:
B  0.500  0.020  0.224
B  0.000  0.980  0.724
Ge  0.000  0.647  0.236
Ge  0.500  0.353  0.736
Pt  0.000  0.163  0.040
Pt  0.500  0.837  0.540


GeB4Pt | PBE-GGA | optimized geometry

Crystal system   orthorhombic
ΔE to the lowest computed polymorph   41 meV/atom

abc: 4.741 4.741 4.741
angles: 142.54 109.84 82.34
Fractional coordinates of all 6 atoms:
B  0.585  0.250  0.335
B  0.914  0.250  0.665
B  0.086  0.750  0.335
B  0.415  0.750  0.665
Ge  0.000  0.000  0.000
Pt  0.500  0.500  0.000


ReGeB | PBE-GGA | optimized geometry

Final energy   -7.2449 eV per atom
Crystal system   cubic

abc: 3.791 3.791 3.791
angles: 60.00 60.00 60.00
Fractional coordinates of all 3 atoms:
Ge  0.250  0.250  0.250
Re  0.750  0.750  0.750
B  0.000  0.000  0.000


ReGeB4 | PBE-GGA | optimized geometry

Crystal system   orthorhombic
ΔE to the lowest computed polymorph   12 meV/atom

abc: 4.591 4.591 4.591
angles: 141.83 108.54 84.02
Fractional coordinates of all 6 atoms:
Re  0.500  0.500  0.000
B  0.409  0.747  0.662
B  0.915  0.253  0.662
B  0.591  0.253  0.338
B  0.085  0.747  0.338
Ge  0.000  0.000  0.000


ReGeB4 | PBE-GGA | optimized geometry

Crystal system   hexagonal
ΔE to the lowest computed polymorph   0 meV/atom

abc: 3.003 3.003 7.446
angles: 90.00 90.00 120.00
Fractional coordinates of all 6 atoms:
Ge  0.000  0.000  0.000
B  0.333  0.667  0.725
B  0.667  0.333  0.725
B  0.667  0.333  0.275
B  0.333  0.667  0.275
Re  0.000  0.000  0.500


Ta2GeB | PBE-GGA | optimized geometry

Final energy   -9.2650 eV per atom
Crystal system   hexagonal

abc: 3.282 3.282 12.771
angles: 90.00 90.00 120.00
Fractional coordinates of all 8 atoms:
Ta  0.667  0.333  0.903
Ta  0.333  0.667  0.403
Ta  0.667  0.333  0.597
Ta  0.333  0.667  0.097
B  0.000  0.000  0.500
B  0.000  0.000  0.000
Ge  0.667  0.333  0.250
Ge  0.333  0.667  0.750


Ta3GeB2 | PBE-GGA | optimized geometry

Final energy   -9.4944 eV per atom
Crystal system   hexagonal

abc: 3.269 3.269 18.143
angles: 90.00 90.00 120.00
Fractional coordinates of all 12 atoms:
Ta  0.333  0.667  0.860
Ta  0.000  0.000  0.000
Ta  0.000  0.000  0.500
Ta  0.333  0.667  0.640
Ta  0.667  0.333  0.360
Ta  0.667  0.333  0.140
Ge  0.000  0.000  0.750
Ge  0.000  0.000  0.250
B  0.333  0.667  0.074
B  0.667  0.333  0.574
B  0.333  0.667  0.426
B  0.667  0.333  0.926


TaGeB | PBE-GGA | optimized geometry

Crystal system   cubic
ΔE to the lowest computed polymorph   0 meV/atom

abc: 3.921 3.921 3.921
angles: 60.00 60.00 60.00
Fractional coordinates of all 3 atoms:
Ge  0.250  0.250  0.250
Ta  0.750  0.750  0.750
B  0.000  0.000  0.000


TaGeB | PBE-GGA | optimized geometry

Crystal system   cubic
ΔE to the lowest computed polymorph   358 meV/atom

abc: 4.131 4.131 4.131
angles: 60.00 60.00 60.00
Fractional coordinates of all 3 atoms:
Ge  0.750  0.750  0.750
Ta  0.000  0.000  0.000
B  0.250  0.250  0.250


Ta2GeB2 | PBE-GGA | optimized geometry

Final energy   -8.6613 eV per atom
Crystal system   orthorhombic

abc: 6.071 6.071 3.330
angles: 90.00 90.00 150.10
Fractional coordinates of all 5 atoms:
Ta  0.638  0.362  0.500
Ta  0.362  0.638  0.500
Ge  0.000  0.000  0.000
B  0.784  0.216  0.000
B  0.216  0.784  0.000


Ta5GeB2 | PBE-GGA | optimized geometry

Final energy   -10.2454 eV per atom
Crystal system   tetragonal

abc: 7.332 7.332 7.332
angles: 129.33 129.33 74.48
Fractional coordinates of all 16 atoms:
B  0.879  0.621  0.500
B  0.379  0.879  0.259
B  0.121  0.379  0.500
B  0.621  0.121  0.741
Ta  0.803  0.972  0.500
Ta  0.000  0.000  0.000
Ta  0.697  0.197  0.169
Ta  0.197  0.028  0.500
Ta  0.028  0.528  0.831
Ta  0.528  0.697  0.500
Ta  0.472  0.303  0.500
Ta  0.972  0.472  0.169
Ta  0.500  0.500  0.000
Ta  0.303  0.803  0.831
Ge  0.250  0.250  0.000
Ge  0.750  0.750  0.000


TbGeB | PBE-GGA | optimized geometry

Crystal system   orthorhombic
ΔE to the lowest computed polymorph   0 meV/atom

abc: 6.782 6.782 3.538
angles: 90.00 90.00 135.65
Fractional coordinates of all 6 atoms:
Ge  0.901  0.099  0.750
Ge  0.099  0.901  0.250
Tb  0.658  0.342  0.750
Tb  0.342  0.658  0.250
B  0.188  0.812  0.750
B  0.812  0.188  0.250


TbGeB | PBE-GGA | optimized geometry

Crystal system   cubic
ΔE to the lowest computed polymorph   745 meV/atom

abc: 4.377 4.377 4.377
angles: 60.00 60.00 60.00
Fractional coordinates of all 3 atoms:
Tb  0.750  0.750  0.750
B  0.250  0.250  0.250
Ge  0.000  0.000  0.000


TbGeB | PBE-GGA | optimized geometry

Crystal system   cubic
ΔE to the lowest computed polymorph   168 meV/atom

abc: 4.220 4.220 4.220
angles: 60.00 60.00 60.00
Fractional coordinates of all 3 atoms:
Ge  0.250  0.250  0.250
B  0.000  0.000  0.000
Tb  0.750  0.750  0.750


TcGe2B | PBE-GGA | optimized geometry

Final energy   -5.6175 eV per atom
Crystal system   cubic

abc: 4.272 4.272 4.272
angles: 60.00 60.00 60.00
Fractional coordinates of all 4 atoms:
Ge  0.500  0.500  0.500
Ge  0.750  0.750  0.750
Tc  0.000  0.000  0.000
B  0.250  0.250  0.250


ThGeB4 | PBE-GGA | optimized geometry

Crystal system   orthorhombic
ΔE to the lowest computed polymorph   0 meV/atom

abc: 5.351 5.351 5.351
angles: 144.97 122.28 69.34
Fractional coordinates of all 6 atoms:
B  0.553  0.235  0.318
B  0.917  0.235  0.682
B  0.083  0.765  0.318
B  0.447  0.765  0.682
Ge  0.000  0.000  0.000
Th  0.500  0.500  0.000


ThGeB4 | PBE-GGA | optimized geometry

Crystal system   hexagonal
ΔE to the lowest computed polymorph   163 meV/atom

abc: 3.192 3.192 8.045
angles: 90.00 90.00 120.00
Fractional coordinates of all 6 atoms:
Ge  0.000  0.000  0.500
Th  0.000  0.000  0.000
B  0.333  0.667  0.733
B  0.333  0.667  0.267
B  0.667  0.333  0.267
B  0.667  0.333  0.733


ThGeB | PBE-GGA | optimized geometry

Final energy   -6.1489 eV per atom
Crystal system   cubic

abc: 4.369 4.369 4.369
angles: 60.00 60.00 60.00
Fractional coordinates of all 3 atoms:
Th  0.750  0.750  0.750
Ge  0.250  0.250  0.250
B  0.000  0.000  0.000


TmGeB | PBE-GGA | optimized geometry

Crystal system   cubic
ΔE to the lowest computed polymorph   0 meV/atom

abc: 4.147 4.147 4.147
angles: 60.00 60.00 60.00
Fractional coordinates of all 3 atoms:
B  0.000  0.000  0.000
Tm  0.750  0.750  0.750
Ge  0.250  0.250  0.250